This record from the Alexandria database describes Y2ZnAs after structural relaxation. The functional is GGA-PBEsol.

The structure in CIF format:
```
data_Y2ZnAs
_cell_length_a 3.9721
_cell_length_b 4.1464
_cell_length_c 10.6918
_cell_angle_alpha 90.00
_cell_angle_beta 90.00
_cell_angle_gamma 90.00
_space_group_name_H-M_alt 'A m m 2'
_space_group_IT_number 38
_space_group_name_Hall 'A 2 -2'
loop_
_atom_site_label
_atom_site_fract_x
_atom_site_fract_y
_atom_site_fract_z
Y1 0.0000 0.0000 0.0000
Y2 0.5000 0.0000 0.2835
Zn1 0.5000 0.0000 0.5589
As1 0.0000 0.0000 0.7215
```

For the volume, the calculation gives 176.09 Å³/cell. As for the total energy: -47.9 eV per cell. As for the excess energy over the best structure of this formula in the dataset: 0 meV per atom. Its energy of formation from the pure elements is -0.905 eV per atom.